[1]
SmYIn | GGA-PBE | relaxed

Properties
**Crystal system**: tetragonal
**ΔH_f (0 K)**: -0.32 eV per atom
**Calculated density**: 6.57 g/cm³
**VASP energy**: -4.958 eV per atom

a = 3.590 Å, b = 3.590 Å, c = 13.881 Å
α = 90.00°, β = 90.00°, γ = 90.00°
Space group I4mm (No. 107)
Unique sites:
Sm 0.000 0.000 0.000 [2 per cell]
Y 0.000 0.000 0.692 [2 per cell]
In 0.000 0.000 0.343 [2 per cell]

=====

[2]
V2ZnPd2 | GGA-PBE | relaxed

Properties
**Crystal system**: tetragonal
**ΔH_f (0 K)**: 0.01 eV per atom
**Calculated density**: 8.24 g/cm³
**VASP energy**: -5.966 eV per atom

a = 7.513 Å, b = 7.513 Å, c = 2.715 Å
α = 90.00°, β = 90.00°, γ = 90.00°
Space group P4/mbm (No. 127)
Unique sites:
V 0.109 0.391 0.000 [4 per cell]
Zn 0.000 0.000 0.000 [2 per cell]
Pd 0.182 0.682 0.500 [4 per cell]

=====

[3]
Ca8Cd2Pd | GGA-PBE | relaxed

Properties
**Crystal system**: monoclinic
**ΔH_f (0 K)**: -0.26 eV per atom
**Calculated density**: 3.02 g/cm³
**VASP energy**: -2.354 eV per atom

a = 18.908 Å, b = 5.504 Å, c = 7.246 Å
α = 90.00°, β = 108.21°, γ = 90.00°
Space group C2/m (No. 12)
Unique sites:
Ca 0.023 0.000 0.290 [4 per cell]
Ca 0.093 0.500 0.925 [4 per cell]
Ca 0.152 0.500 0.459 [4 per cell]
Ca 0.207 0.000 0.798 [4 per cell]
Cd 0.183 0.000 0.217 [4 per cell]
Pd 0.000 0.500 0.500 [2 per cell]

=====

[4]
LiZnTcIr | GGA-PBE | relaxed

Properties
**Crystal system**: cubic
**ΔH_f (0 K)**: -0.10 eV per atom
**Calculated density**: 11.02 g/cm³
**VASP energy**: -5.706 eV per atom

a = 6.023 Å, b = 6.023 Å, c = 6.023 Å
α = 90.00°, β = 90.00°, γ = 90.00°
Space group F-43m (No. 216)
Unique sites:
Li 0.000 0.000 0.000 [4 per cell]
Zn 0.250 0.250 0.750 [4 per cell]
Tc 0.250 0.250 0.250 [4 per cell]
Ir 0.000 0.000 0.500 [4 per cell]

=====

[5]
KPaTa2S8 | GGA-PBE | relaxed

Properties
**Crystal system**: trigonal
**Calculated density**: 4.17 g/cm³
**VASP energy**: -6.661 eV per atom
**Formation energy without anion corrections**: -12.61 eV/f.u.

a = 6.5577 Å, b = 6.5577 Å, c = 28.4843 Å
α = 90.00°, β = 90.00°, γ = 120.00°
Space group R-3 (No. 148, hexagonal axes)
Unique sites:
K 0.0000 0.0000 0.0000 [3 per cell]
Pa 0.0000 0.0000 0.5000 [3 per cell]
Ta 0.0000 0.0000 0.2439 [6 per cell]
S 0.0000 0.0000 0.3210 [6 per cell]
S 0.0040 0.3428 0.2218 [18 per cell]

=====

[6]
Al2CdCF | GGA-PBE | relaxed

Properties
**Crystal system**: tetragonal
**Calculated density**: 3.91 g/cm³
**VASP energy**: -3.882 eV per atom
**Formation energy without anion corrections**: 0.09 eV/f.u.

a = 3.849 Å, b = 3.849 Å, c = 5.662 Å
α = 90.00°, β = 90.00°, γ = 90.00°
Space group P4/mmm (No. 123)
Unique sites:
Al 0.000 0.500 0.000 [2 per cell]
Cd 0.000 0.000 0.500 [1 per cell]
C 0.000 0.000 0.000 [1 per cell]
F 0.500 0.500 0.500 [1 per cell]

=====

[7]
PrYTmTh | GGA-PBE | relaxed

Properties
**Crystal system**: trigonal
**ΔH_f (0 K)**: 0.02 eV per atom
**Calculated density**: 8.04 g/cm³
**VASP energy**: -5.765 eV per atom

a = 3.6020 Å, b = 3.6020 Å, c = 34.7911 Å
α = 90.00°, β = 90.00°, γ = 120.00°
Space group R3m (No. 160, hexagonal axes)
Unique sites:
Pr 0.0000 0.0000 0.0000 [3 per cell]
Y 0.0000 0.0000 0.2462 [3 per cell]
Tm 0.0000 0.0000 0.4189 [3 per cell]
Th 0.0000 0.0000 0.8318 [3 per cell]

=====

[8]
Sc2FePt | GGA-PBE | relaxed

Properties
**Crystal system**: trigonal
**ΔH_f (0 K)**: -0.05 eV per atom
**Calculated density**: 7.75 g/cm³
**VASP energy**: -6.841 eV per atom

a = 3.0257 Å, b = 3.0257 Å, c = 27.6408 Å
α = 90.00°, β = 90.00°, γ = 120.00°
Space group R3m (No. 160, hexagonal axes)
Unique sites:
Sc 0.0000 0.0000 0.0000 [3 per cell]
Sc 0.0000 0.0000 0.2324 [3 per cell]
Fe 0.0000 0.0000 0.4872 [3 per cell]
Pt 0.0000 0.0000 0.7467 [3 per cell]

=====

[9]
NdDy4Tm5 | GGA-PBE | relaxed

Properties
**Crystal system**: triclinic
**ΔH_f (0 K)**: 0.06 eV per atom
**Calculated density**: 8.67 g/cm³
**VASP energy**: -4.491 eV per atom

a = 3.531 Å, b = 6.633 Å, c = 14.021 Å
α = 98.42°, β = 93.07°, γ = 103.98°
Space group P-1 (No. 2)
Unique sites:
Nd 0.000 0.000 0.000 [1 per cell]
Dy 0.117 0.810 0.219 [2 per cell]
Dy 0.189 0.726 0.804 [2 per cell]
Tm 0.204 0.880 0.583 [2 per cell]
Tm 0.489 0.426 0.612 [2 per cell]
Tm 0.500 0.500 0.000 [1 per cell]

=====

[10]
Li2AcMg2Hg | GGA-PBE | relaxed

Properties
**Crystal system**: tetragonal
**ΔH_f (0 K)**: 0.03 eV per atom
**Calculated density**: 5.17 g/cm³
**VASP energy**: -1.877 eV per atom

a = 5.126 Å, b = 5.126 Å, c = 11.977 Å
α = 90.00°, β = 90.00°, γ = 90.00°
Space group I4/mmm (No. 139)
Unique sites:
Li 0.000 0.000 0.205 [4 per cell]
Ac 0.000 0.000 0.500 [2 per cell]
Mg 0.000 0.500 0.250 [4 per cell]
Hg 0.000 0.000 0.000 [2 per cell]

=====

[11]
AlCd3Ag5 | GGA-PBE | relaxed

Properties
**Crystal system**: hexagonal
**ΔH_f (0 K)**: 0.00 eV per atom
**Calculated density**: 8.81 g/cm³
**VASP energy**: -2.302 eV per atom

a = 8.3370 Å, b = 8.3370 Å, c = 5.6559 Å
α = 90.00°, β = 90.00°, γ = 120.00°
Space group P6_3/mcm (No. 193)
Unique sites:
Al 0.0000 0.0000 0.0000 [2 per cell]
Cd 0.0000 0.3775 0.2500 [6 per cell]
Ag 0.0000 0.2840 0.7500 [6 per cell]
Ag 0.3333 0.6667 0.0000 [4 per cell]

=====

[12]
Tb3Tm3Sc2 | GGA-PBE | relaxed

Properties
**Crystal system**: monoclinic
**ΔH_f (0 K)**: 0.09 eV per atom
**Calculated density**: 7.52 g/cm³
**VASP energy**: -4.908 eV per atom

a = 16.610 Å, b = 5.391 Å, c = 5.585 Å
α = 90.00°, β = 108.53°, γ = 90.00°
Space group C2/m (No. 12)
Unique sites:
Tb 0.000 0.000 0.000 [2 per cell]
Tb 0.140 0.000 0.686 [4 per cell]
Tm 0.000 0.500 0.500 [2 per cell]
Tm 0.138 0.500 0.100 [4 per cell]
Sc 0.250 0.000 0.307 [4 per cell]